Record 1
CsK2Ag: optimized geometry, GGA-PBE.

Lattice parameters (Å, degrees): 7.802 11.269 20.332 90.00 90.00 90.00
Fractional positions:
Ag (0.290, 0.250, 0.314)
Ag (0.529, 0.250, 0.568)
Ag (0.971, 0.250, 0.068)
Ag (0.210, 0.250, 0.814)
Ag (0.029, 0.750, 0.932)
Ag (0.710, 0.750, 0.686)
Ag (0.790, 0.750, 0.186)
Ag (0.471, 0.750, 0.432)
Cs (0.770, 0.250, 0.394)
Cs (0.981, 0.750, 0.364)
Cs (0.230, 0.750, 0.606)
Cs (0.519, 0.750, 0.864)
Cs (0.270, 0.750, 0.106)
Cs (0.481, 0.250, 0.136)
Cs (0.730, 0.250, 0.894)
Cs (0.019, 0.250, 0.636)
K (0.988, 0.561, 0.787)
K (0.012, 0.061, 0.213)
K (0.278, 0.441, 0.456)
K (0.722, 0.559, 0.544)
K (0.512, 0.561, 0.287)
K (0.722, 0.941, 0.544)
K (0.988, 0.939, 0.787)
K (0.512, 0.939, 0.287)
K (0.278, 0.059, 0.456)
K (0.012, 0.439, 0.213)
K (0.222, 0.441, 0.956)
K (0.222, 0.059, 0.956)
K (0.488, 0.061, 0.713)
K (0.778, 0.941, 0.044)
K (0.488, 0.439, 0.713)
K (0.778, 0.559, 0.044)

## Properties
The density of states at the Fermi level comes out at 0.6053 states/eV/atom. The energy relative to the elements is 0.13 eV/f.u. For the energy above the most stable polymorph in this dataset, the calculation gives 0 kJ/mol of formula units. The space-group type is Pnma (62). The value obtained for the spin magnetization is 0.00 μB/cell.

---

Record 2
CuHgAs2: optimized geometry, GGA-PBE.

Lattice parameters (Å, degrees): 5.841 5.841 5.841 141.32 141.32 55.86
Fractional positions:
Cu (0.250, 0.750, 0.500)
Hg (0.750, 0.250, 0.500)
As (0.000, 0.000, 0.000)
As (0.500, 0.500, 0.000)

## Properties
The density of states at the Fermi level comes out at 0.5179 states/eV/atom. The energy relative to the elements is 1.53 eV/f.u. The space-group type is I4/mmm (139). The value obtained for the spin magnetization is 0.00 μB/cell.

---

Record 3
Sb2RuRh: optimized geometry, GGA-PBE.

Lattice parameters (Å, degrees): 4.444 4.444 5.601 77.88 77.88 42.99
Fractional positions:
Ru (0.750, 0.750, 0.750)
Sb (0.498, 0.498, 0.505)
Sb (0.002, 0.002, 0.995)
Rh (0.250, 0.250, 0.250)

## Properties
The density of states at the Fermi level comes out at 0.7504 states/eV/atom. For the energy above the most stable polymorph in this dataset, the calculation gives 51 kJ/mol of formula units. As for the raw formation energy: -0.03 eV per atom. The space-group type is C2/m (12). The value obtained for the spin magnetization is 0.00 μB/cell.

---

Record 4
Cs4K2RbHg2: optimized geometry, GGA-PBE.

Lattice parameters (Å, degrees): 7.810 10.229 14.943 142.55 109.53 81.18
Fractional positions:
Cs (0.394, 0.203, 0.911)
Cs (0.275, 0.342, 0.507)
Cs (0.606, 0.797, 0.089)
Cs (0.725, 0.658, 0.493)
K (0.137, 0.724, 0.338)
K (0.863, 0.276, 0.662)
Hg (0.886, 0.301, 0.922)
Hg (0.114, 0.699, 0.078)
Rb (0.000, 0.000, 0.000)

## Properties
The density of states at the Fermi level comes out at 0.7780 states/eV/atom. The energy relative to the elements is -0.94 eV/f.u. The space-group type is P-1 (2). The value obtained for the spin magnetization is 0.00 μB/cell.

---

Record 5
PmTmMgZn: optimized geometry, GGA-PBE.

Lattice parameters (Å, degrees): 3.597 3.597 7.867 90.00 90.00 90.00
Fractional positions:
Zn (0.500, 0.500, 0.125)
Tm (0.000, 0.000, 0.328)
Mg (0.500, 0.500, 0.593)
Pm (0.000, 0.000, 0.882)

## Properties
The density of states at the Fermi level comes out at 1.0778 states/eV/atom. The energy relative to the elements is -0.82 eV/f.u. For the energy above the most stable polymorph in this dataset, the calculation gives 0 kJ/mol of formula units. The space-group type is P4mm (99). The value obtained for the spin magnetization is 0.00 μB/cell.

---

Record 6
MnPtAu2: optimized geometry, GGA-PBE.

Lattice parameters (Å, degrees): 4.937 4.937 4.856 76.81 76.81 35.49
Last column: magnetic moment on the atom in μB.
Fractional positions:
Au (0.758, 0.758, 0.745)  0.05
Au (0.998, 0.998, 0.001)  0.04
Mn (0.505, 0.505, 0.491)  3.92
Pt (0.239, 0.239, 0.263)  0.20

## Properties
The density of states at the Fermi level comes out at 0.3978 states/eV/atom. The energy relative to the elements is -0.37 eV/f.u. The space-group type is Cm (8). The value obtained for the spin magnetization is 4.40 μB/cell.